A plane-wave DFT calculation with GGA-PBE was carried out for a relaxed structure of Pm4GeP2Br.

The mass density is 6.312 Mg/m³. As for the formation energy from raw total energies: -1.38 eV/atom.

abc: 4.1601 7.3024 7.2656
angles: 71.25 90.00 90.00
Last column: nearest neighbours and their distance in Å.
Positions (direct):
Pm: 0.0000 0.2253 0.2712  3 P 2.84-2.95, 1 Ge 2.99, 2 Br 3.11
Pm: 0.5000 0.2368 0.7468  3 P 2.86-2.94, 2 Ge 3.00, 1 Br 3.06
Pm: 0.0000 0.7747 0.7288  3 P 2.84-2.95, 1 Ge 2.99, 2 Br 3.11
Pm: 0.5000 0.7632 0.2532  3 P 2.86-2.94, 2 Ge 3.00, 1 Br 3.06
Ge: 0.0000 0.5000 0.5000  6 Pm 2.99-3.00
P: 0.0000 0.0000 0.0000  6 Pm 2.94-2.95
P: 0.5000 0.0000 0.5000  6 Pm 2.84-2.86
Br: 0.5000 0.5000 0.0000  6 Pm 3.06-3.11

---

A plane-wave DFT calculation with GGA-PBE was carried out for a relaxed structure of POs4Cl.

The mass density is 13.581 Mg/m³. As for the formation energy from raw total energies: 1.59 eV/atom.

abc: 5.2301 5.2301 5.2301
angles: 60.00 60.00 60.00
Last column: nearest neighbours and their distance in Å.
Positions (direct):
Os: 0.1275 0.6242 0.6242  6 Os 2.60-2.63
Os: 0.6242 0.6242 0.1275  6 Os 2.60-2.63
Os: 0.6242 0.1275 0.6242  6 Os 2.60-2.63
Os: 0.6242 0.6242 0.6242  6 Os 2.60-2.63
P: 0.2500 0.2500 0.2500  12 Os 3.06, 4 Cl 3.20
Cl: 0.0000 0.0000 0.0000  12 Os 3.07, 4 P 3.20

---

no.,Fermi-level density of states (states/eV/atom)
1,0.328
2,1.839